The following is a PBE calculation of a relaxed ZrBeRe2 crystal, from Alexandria.

Output
The formation energy comes out at 0.330 eV/atom.

abc: 2.794 2.794 27.057
angles: 90.00 90.00 120.00
Fractional coordinates of all 12 atoms:
Zr (0.000, 0.000, 0.000)
Zr (0.333, 0.667, 0.667)
Zr (0.667, 0.333, 0.333)
Be (0.000, 0.000, 0.500)
Be (0.333, 0.667, 0.167)
Be (0.667, 0.333, 0.833)
Re (0.000, 0.000, 0.238)
Re (0.000, 0.000, 0.762)
Re (0.333, 0.667, 0.429)
Re (0.333, 0.667, 0.904)
Re (0.667, 0.333, 0.096)
Re (0.667, 0.333, 0.571)

The following is a PBE calculation of a relaxed ZrBeRe2 crystal, from Alexandria.

Output
The formation energy comes out at 0.089 eV/atom.

abc: 3.343 4.245 4.326
angles: 90.00 90.00 90.00
Fractional coordinates of all 4 atoms:
Zr (0.000, 0.000, 0.000)
Be (0.500, 0.500, 0.000)
Re (0.000, 0.500, 0.500)
Re (0.500, 0.000, 0.500)

The following is a PBE calculation of a relaxed Zr2BeRe crystal, from Alexandria.

Output
The formation energy comes out at 0.004 eV/atom.

abc: 9.589 3.286 4.623
angles: 90.00 107.72 90.00
Fractional coordinates of all 8 atoms:
Zr (0.000, 0.000, 0.000)
Zr (0.223, 0.000, 0.691)
Zr (0.500, 0.500, 0.000)
Zr (0.723, 0.500, 0.691)
Be (0.458, 0.000, 0.474)
Be (0.958, 0.500, 0.474)
Re (0.272, 0.500, 0.247)
Re (0.772, 0.000, 0.247)

The following is a PBE calculation of a relaxed Zr2Be2Re crystal, from Alexandria.

Output
The formation energy comes out at -0.188 eV/atom.

abc: 6.543 6.543 3.555
angles: 90.00 90.00 90.00
Fractional coordinates of all 10 atoms:
Zr (0.183, 0.317, 0.000)
Zr (0.317, 0.817, 0.000)
Zr (0.683, 0.183, 0.000)
Zr (0.817, 0.683, 0.000)
Be (0.117, 0.617, 0.500)
Be (0.383, 0.117, 0.500)
Be (0.617, 0.883, 0.500)
Be (0.883, 0.383, 0.500)
Re (0.000, 0.000, 0.500)
Re (0.500, 0.500, 0.500)

The following is a PBE calculation of a relaxed ZrBe2Re crystal, from Alexandria.

Output
Its excess energy over the best structure of this formula in the dataset is 0.321 eV/atom. The formation energy comes out at 0.091 eV/atom.

abc: 9.364 2.613 4.609
angles: 90.00 107.08 90.00
Fractional coordinates of all 8 atoms:
Zr (0.000, 0.000, 0.000)
Zr (0.500, 0.500, 0.000)
Be (0.048, 0.500, 0.520)
Be (0.234, 0.000, 0.795)
Be (0.548, 0.000, 0.520)
Be (0.734, 0.500, 0.795)
Re (0.293, 0.500, 0.356)
Re (0.793, 0.000, 0.356)

The following is a PBE calculation of a relaxed ZrBeRe2 crystal, from Alexandria.

Output
The formation energy comes out at -0.088 eV/atom.

abc: 3.058 3.058 6.561
angles: 90.00 90.00 90.00
Fractional coordinates of all 4 atoms:
Zr (0.000, 0.000, 0.000)
Be (0.500, 0.500, 0.281)
Re (0.000, 0.000, 0.459)
Re (0.500, 0.500, 0.685)

The following is a PBE calculation of a relaxed ZrBe2Re crystal, from Alexandria.

Output
Its excess energy over the best structure of this formula in the dataset is 0.464 eV/atom. The formation energy comes out at 0.233 eV/atom.

abc: 3.135 3.135 5.947
angles: 90.00 90.00 90.00
Fractional coordinates of all 4 atoms:
Zr (0.000, 0.000, 0.000)
Be (0.000, 0.000, 0.525)
Be (0.500, 0.500, 0.338)
Re (0.500, 0.500, 0.722)

The following is a PBE calculation of a relaxed ZrBeRe2 crystal, from Alexandria.

Output
The formation energy comes out at 0.019 eV/atom.

abc: 2.975 4.254 5.040
angles: 90.00 101.84 90.00
Fractional coordinates of all 4 atoms:
Zr (0.000, 0.000, 0.000)
Be (0.566, 0.500, 0.209)
Re (0.252, 0.500, 0.648)
Re (0.580, 0.000, 0.484)

The following is a PBE calculation of a relaxed ZrBe2Re crystal, from Alexandria.

Output
Its excess energy over the best structure of this formula in the dataset is 0.215 eV/atom. The formation energy comes out at -0.016 eV/atom.

abc: 5.973 5.973 5.973
angles: 90.00 90.00 90.00
Fractional coordinates of all 16 atoms:
Zr (0.000, 0.000, 0.000)
Zr (0.000, 0.500, 0.500)
Zr (0.500, 0.000, 0.500)
Zr (0.500, 0.500, 0.000)
Be (0.250, 0.250, 0.250)
Be (0.250, 0.250, 0.750)
Be (0.250, 0.750, 0.250)
Be (0.250, 0.750, 0.750)
Be (0.750, 0.250, 0.250)
Be (0.750, 0.250, 0.750)
Be (0.750, 0.750, 0.250)
Be (0.750, 0.750, 0.750)
Re (0.000, 0.000, 0.500)
Re (0.000, 0.500, 0.000)
Re (0.500, 0.000, 0.000)
Re (0.500, 0.500, 0.500)

The following is a PBE calculation of a relaxed BeRh crystal, from Alexandria.

Output
The formation energy comes out at -0.224 eV/atom.

abc: 4.530 4.530 4.487
angles: 90.00 90.00 90.00
Fractional coordinates of all 8 atoms:
Be (0.214, 0.214, 0.000)
Be (0.286, 0.714, 0.500)
Be (0.714, 0.286, 0.500)
Be (0.786, 0.786, 0.000)
Rh (0.219, 0.219, 0.500)
Rh (0.281, 0.719, 0.000)
Rh (0.719, 0.281, 0.000)
Rh (0.781, 0.781, 0.500)

The following is a PBE calculation of a relaxed Be3Rh5 crystal, from Alexandria.

Output
Its excess energy over the best structure of this formula in the dataset is 0.143 eV/atom. The formation energy comes out at -0.288 eV/atom.

abc: 6.009 8.135 3.950
angles: 90.00 90.00 90.00
Fractional coordinates of all 16 atoms:
Be (0.000, 0.000, 0.000)
Be (0.000, 0.270, 0.500)
Be (0.000, 0.730, 0.500)
Be (0.500, 0.230, 0.500)
Be (0.500, 0.500, 0.000)
Be (0.500, 0.770, 0.500)
Rh (0.000, 0.500, 0.000)
Rh (0.220, 0.000, 0.500)
Rh (0.250, 0.250, 0.000)
Rh (0.250, 0.750, 0.000)
Rh (0.280, 0.500, 0.500)
Rh (0.500, 0.000, 0.000)
Rh (0.720, 0.500, 0.500)
Rh (0.750, 0.250, 0.000)
Rh (0.750, 0.750, 0.000)
Rh (0.780, 0.000, 0.500)

The following is a PBE calculation of a relaxed BeRh crystal, from Alexandria.

Output
The formation energy comes out at -0.294 eV/atom.

abc: 5.681 5.290 4.559
angles: 69.99 61.06 48.95
Fractional coordinates of all 8 atoms:
Be (0.070, 0.680, 0.680)
Be (0.320, 0.930, 0.930)
Be (0.680, 0.070, 0.070)
Be (0.930, 0.320, 0.320)
Rh (0.156, 0.594, 0.156)
Rh (0.406, 0.844, 0.406)
Rh (0.594, 0.156, 0.594)
Rh (0.844, 0.406, 0.844)

The following is a PBE calculation of a relaxed Be3Rh crystal, from Alexandria.

Output
The formation energy comes out at -0.189 eV/atom.

abc: 7.356 7.356 2.578
angles: 90.00 90.00 120.00
Fractional coordinates of all 12 atoms:
Be (0.000, 0.500, 0.000)
Be (0.167, 0.333, 0.333)
Be (0.167, 0.833, 0.333)
Be (0.333, 0.167, 0.667)
Be (0.500, 0.000, 0.000)
Be (0.500, 0.500, 0.000)
Be (0.667, 0.833, 0.333)
Be (0.833, 0.167, 0.667)
Be (0.833, 0.667, 0.667)
Rh (0.000, 0.000, 0.000)
Rh (0.333, 0.667, 0.667)
Rh (0.667, 0.333, 0.333)

The following is a PBE calculation of a relaxed BeRh crystal, from Alexandria.

Output
The formation energy comes out at 0.046 eV/atom.

abc: 4.237 4.237 6.432
angles: 90.00 90.00 120.00
Fractional coordinates of all 8 atoms:
Be (0.333, 0.667, 0.088)
Be (0.333, 0.667, 0.412)
Be (0.667, 0.333, 0.588)
Be (0.667, 0.333, 0.912)
Rh (0.000, 0.000, 0.250)
Rh (0.000, 0.000, 0.750)
Rh (0.333, 0.667, 0.750)
Rh (0.667, 0.333, 0.250)

The following is a PBE calculation of a relaxed BeRh7 crystal, from Alexandria.

Output
The formation energy comes out at -0.078 eV/atom.

abc: 5.365 5.365 5.365
angles: 60.00 60.00 60.00
Fractional coordinates of all 8 atoms:
Be (0.000, 0.000, 0.000)
Rh (0.000, 0.000, 0.500)
Rh (0.000, 0.500, 0.000)
Rh (0.000, 0.500, 0.500)
Rh (0.500, 0.000, 0.000)
Rh (0.500, 0.000, 0.500)
Rh (0.500, 0.500, 0.000)
Rh (0.500, 0.500, 0.500)

The following is a PBE calculation of a relaxed BeRh crystal, from Alexandria.

Output
The formation energy comes out at -0.434 eV/atom.

abc: 2.761 2.761 3.436
angles: 90.00 90.00 120.00
Fractional coordinates of all 2 atoms:
Be (0.000, 0.000, 0.000)
Rh (0.333, 0.667, 0.500)

The following is a PBE calculation of a relaxed Be3Rh crystal, from Alexandria.

Output
The formation energy comes out at -0.033 eV/atom.

abc: 2.652 2.652 6.878
angles: 90.00 90.00 120.00
Fractional coordinates of all 4 atoms:
Be (0.000, 0.000, 0.000)
Be (0.333, 0.667, 0.245)
Be (0.333, 0.667, 0.755)
Rh (0.000, 0.000, 0.500)

The following is a PBE calculation of a relaxed Be3Rh crystal, from Alexandria.

Output
The formation energy comes out at -0.455 eV/atom.

abc: 4.826 4.826 3.751
angles: 90.00 90.00 120.00
Fractional coordinates of all 8 atoms:
Be (0.160, 0.320, 0.250)
Be (0.160, 0.840, 0.250)
Be (0.320, 0.160, 0.750)
Be (0.680, 0.840, 0.250)
Be (0.840, 0.160, 0.750)
Be (0.840, 0.680, 0.750)
Rh (0.333, 0.667, 0.750)
Rh (0.667, 0.333, 0.250)

The following is a PBE calculation of a relaxed Be5Rh6 crystal, from Alexandria.

Output
The formation energy comes out at -0.437 eV/atom.

abc: 6.752 6.752 3.912
angles: 106.75 106.75 48.23
Fractional coordinates of all 11 atoms:
Be (0.000, 0.000, 0.000)
Be (0.167, 0.167, 0.666)
Be (0.325, 0.325, 0.325)
Be (0.675, 0.675, 0.675)
Be (0.833, 0.833, 0.334)
Rh (0.090, 0.582, 0.837)
Rh (0.260, 0.740, 0.500)
Rh (0.418, 0.910, 0.163)
Rh (0.582, 0.090, 0.837)
Rh (0.740, 0.260, 0.500)
Rh (0.910, 0.418, 0.163)

The following is a PBE calculation of a relaxed BeRh crystal, from Alexandria.

Output
The formation energy comes out at -0.132 eV/atom.

abc: 2.899 2.899 6.357
angles: 90.00 90.00 120.00
Fractional coordinates of all 4 atoms:
Be (0.333, 0.667, 0.098)
Be (0.667, 0.333, 0.902)
Rh (0.333, 0.667, 0.678)
Rh (0.667, 0.333, 0.322)

The following is a PBE calculation of a relaxed BeRh crystal, from Alexandria.

Output
The formation energy comes out at -0.206 eV/atom.

abc: 4.520 4.520 4.520
angles: 90.00 90.00 90.00
Fractional coordinates of all 8 atoms:
Be (0.000, 0.000, 0.000)
Be (0.000, 0.500, 0.500)
Be (0.500, 0.000, 0.500)
Be (0.500, 0.500, 0.000)
Rh (0.000, 0.000, 0.500)
Rh (0.000, 0.500, 0.000)
Rh (0.500, 0.000, 0.000)
Rh (0.500, 0.500, 0.500)

The following is a PBE calculation of a relaxed Be3Rh crystal, from Alexandria.

Output
The formation energy comes out at -0.440 eV/atom.

abc: 3.245 3.245 7.285
angles: 90.00 90.00 90.00
Fractional coordinates of all 8 atoms:
Be (0.000, 0.000, 0.000)
Be (0.000, 0.500, 0.250)
Be (0.000, 0.500, 0.750)
Be (0.500, 0.000, 0.250)
Be (0.500, 0.000, 0.750)
Be (0.500, 0.500, 0.500)
Rh (0.000, 0.000, 0.500)
Rh (0.500, 0.500, 0.000)

The following is a PBE calculation of a relaxed BeRh crystal, from Alexandria.

Output
The formation energy comes out at 0.647 eV/atom.

abc: 6.003 6.003 6.003
angles: 90.00 90.00 90.00
Fractional coordinates of all 12 atoms:
Be (0.000, 0.250, 0.500)
Be (0.000, 0.750, 0.500)
Be (0.250, 0.500, 0.000)
Be (0.500, 0.000, 0.250)
Be (0.500, 0.000, 0.750)
Be (0.750, 0.500, 0.000)
Rh (0.000, 0.500, 0.250)
Rh (0.000, 0.500, 0.750)
Rh (0.250, 0.000, 0.500)
Rh (0.500, 0.250, 0.000)
Rh (0.500, 0.750, 0.000)
Rh (0.750, 0.000, 0.500)

The following is a PBE calculation of a relaxed BeRh crystal, from Alexandria.

Output
The formation energy comes out at -0.431 eV/atom.

abc: 2.803 2.803 5.584
angles: 90.00 90.00 90.00
Fractional coordinates of all 4 atoms:
Be (0.250, 0.250, 0.101)
Be (0.750, 0.750, 0.899)
Rh (0.250, 0.250, 0.674)
Rh (0.750, 0.750, 0.326)

The following is a PBE calculation of a relaxed Be3Rh crystal, from Alexandria.

Output
The formation energy comes out at -0.382 eV/atom.

abc: 5.355 5.355 5.355
angles: 90.00 90.00 90.00
Fractional coordinates of all 16 atoms:
Be (0.000, 0.000, 0.000)
Be (0.000, 0.500, 0.500)
Be (0.250, 0.250, 0.250)
Be (0.250, 0.250, 0.750)
Be (0.250, 0.750, 0.250)
Be (0.250, 0.750, 0.750)
Be (0.500, 0.000, 0.500)
Be (0.500, 0.500, 0.000)
Be (0.750, 0.250, 0.250)
Be (0.750, 0.250, 0.750)
Be (0.750, 0.750, 0.250)
Be (0.750, 0.750, 0.750)
Rh (0.000, 0.000, 0.500)
Rh (0.000, 0.500, 0.000)
Rh (0.500, 0.000, 0.000)
Rh (0.500, 0.500, 0.500)

The following is a PBE calculation of a relaxed BeRh crystal, from Alexandria.

Output
The formation energy comes out at -0.174 eV/atom.

abc: 6.195 6.195 4.314
angles: 90.00 90.00 120.00
Fractional coordinates of all 12 atoms:
Be (0.106, 0.465, 0.250)
Be (0.359, 0.894, 0.250)
Be (0.465, 0.359, 0.750)
Be (0.535, 0.641, 0.250)
Be (0.641, 0.106, 0.750)
Be (0.894, 0.535, 0.750)
Rh (0.073, 0.304, 0.750)
Rh (0.230, 0.927, 0.750)
Rh (0.304, 0.230, 0.250)
Rh (0.696, 0.770, 0.750)
Rh (0.770, 0.073, 0.250)
Rh (0.927, 0.696, 0.250)

Number 1: total DFT energy (no corrections) -107.56 eV for the cell shown. Number 2: total DFT energy (no corrections) -36.81 eV for the cell shown. Number 3: total DFT energy (no corrections) -66.51 eV for the cell shown. Number 4: total DFT energy (no corrections) -75.88 eV for the cell shown. Number 5: total DFT energy (no corrections) -56.17 eV for the cell shown. Number 6: total DFT energy (no corrections) -37.52 eV for the cell shown. Number 7: total DFT energy (no corrections) -27.51 eV for the cell shown. Number 8: total DFT energy (no corrections) -37.09 eV for the cell shown. Number 9: total DFT energy (no corrections) -114.05 eV for the cell shown. Number 10: total DFT energy (no corrections) -46.11 eV for the cell shown. Number 11: total DFT energy (no corrections) -100.48 eV for the cell shown. Number 12: total DFT energy (no corrections) -46.67 eV for the cell shown. Number 13: total DFT energy (no corrections) -57.86 eV for the cell shown. Number 14: total DFT energy (no corrections) -43.95 eV for the cell shown. Number 15: total DFT energy (no corrections) -55.81 eV for the cell shown. Number 16: total DFT energy (no corrections) -11.95 eV for the cell shown. Number 17: total DFT energy (no corrections) -18.66 eV for the cell shown. Number 18: total DFT energy (no corrections) -40.70 eV for the cell shown. Number 19: total DFT energy (no corrections) -67.55 eV for the cell shown. Number 20: total DFT energy (no corrections) -22.68 eV for the cell shown. Number 21: total DFT energy (no corrections) -45.96 eV for the cell shown. Number 22: total DFT energy (no corrections) -40.58 eV for the cell shown. Number 23: total DFT energy (no corrections) -58.70 eV for the cell shown. Number 24: total DFT energy (no corrections) -23.88 eV for the cell shown. Number 25: total DFT energy (no corrections) -80.23 eV for the cell shown. Number 26: total DFT energy (no corrections) -68.56 eV for the cell shown.